VASP calculation (PBE) on InReI2O after structural relaxation.

```
InReI2O
1.0
5.767 0.000 0.000
0.000 5.767 0.000
0.000 0.000 3.816
I Re O In
2 1 1 1
Cartesian
0.000 2.883 0.000
2.883 0.000 0.000
0.000 0.000 0.000
0.000 0.000 1.908
2.883 2.883 1.908
```

excess energy over the best structure of this formula in the dataset = 0.000 kcal/mol of atoms
ΔE_f (raw) = -1.03 eV/f.u.
raw total energy = -4.856 eV/atom

VASP calculation (PBE) on InReI2O after structural relaxation.

```
InReI2O
1.0
-3.663 -4.282 -2.299
4.417 -4.134 0.660
-1.320 -0.829 3.646
I Re O In
2 1 1 1
Cartesian
2.209 -2.067 0.330
-1.831 -2.141 -1.150
-0.283 -4.622 1.004
-0.660 -0.414 1.823
0.000 0.000 0.000
```

excess energy over the best structure of this formula in the dataset = 23.241 kcal/mol of atoms
ΔE_f (raw) = 4.01 eV/f.u.
raw total energy = -3.848 eV/atom

VASP calculation (PBE) on InReIO2 after structural relaxation.

```
InReIO2
1.0
4.092 0.000 0.000
0.000 4.092 0.000
0.000 0.000 6.390
I Re O In
1 1 2 1
Cartesian
0.000 0.000 3.195
2.046 2.046 3.195
0.000 2.046 0.000
2.046 0.000 0.000
0.000 0.000 0.000
```

excess energy over the best structure of this formula in the dataset = 22.815 kcal/mol of atoms
ΔE_f (raw) = 3.38 eV/f.u.
raw total energy = -4.655 eV/atom

VASP calculation (PBE) on InReIO2 after structural relaxation.

```
InReIO2
1.0
4.070 0.000 0.000
0.000 4.070 0.000
0.000 0.000 5.719
I Re O In
1 1 2 1
Cartesian
0.000 0.000 2.859
0.000 0.000 0.000
0.000 2.035 0.000
2.035 0.000 0.000
2.035 2.035 2.859
```

excess energy over the best structure of this formula in the dataset = 0.000 kcal/mol of atoms
ΔE_f (raw) = -1.57 eV/f.u.
raw total energy = -5.644 eV/atom